Record 1
AcLaCdGa | PBE-GGA | relaxed

Cell: 5.5571 5.5571 5.5571 Å, 60.00 60.00 60.00°
With the nearest neighbours (Å) after each atom.
Fractional coordinates of all 4 atoms:
Ac 0.0000 0.0000 0.0000  4 Ga 3.40, 4 Cd 3.40
Cd 0.7500 0.7500 0.7500  4 Ac 3.40, 4 La 3.40
La 0.5000 0.5000 0.5000  4 Cd 3.40, 4 Ga 3.40
Ga 0.2500 0.2500 0.2500  4 Ac 3.40, 4 La 3.40

Values from the calculation:
- space group = F-43m, No. 216
- energy (eV per atom) = -3.6355
- E_form (eV per atom) = -0.391



Record 2
LiAc2Cd6Ga | PBE-GGA | relaxed

Cell: 7.2510 7.2511 7.2963 Å, 59.86 59.86 89.99°
With the nearest neighbours (Å) after each atom.
Fractional coordinates of all 10 atoms:
Cd 0.2597 0.2597 0.4809  1 Li 2.47, 1 Ga 2.67
Cd 0.2596 0.7404 0.0000  1 Li 2.47, 1 Ga 2.66
Cd 0.7405 0.7405 0.9999  1 Li 2.47, 1 Ga 2.66
Cd 0.7404 0.2596 0.0000  1 Li 2.47, 1 Ga 2.66
Cd 0.7403 0.7403 0.5191  1 Li 2.47, 1 Ga 2.67
Cd 0.2595 0.2595 0.0001  1 Li 2.47, 1 Ga 2.66
Li 0.5000 0.5000 0.0000  6 Cd 2.47
Ga 0.0000 0.0000 0.0000  6 Cd 2.66-2.67
Ac 0.7505 0.2495 0.5000  12 Cd 3.61-3.65
Ac 0.2495 0.7505 0.5000  12 Cd 3.61-3.65

Values from the calculation:
- space group = C2/m, No. 12
- energy (eV per atom) = -1.9687
- E_form (eV per atom) = -0.104



Record 3
AcMg2Cd2Ga | PBE-GGA | relaxed

Cell: 5.3248 5.3248 7.1761 Å, 111.78 111.78 90.00°
With the nearest neighbours (Å) after each atom.
Fractional coordinates of all 6 atoms:
Mg 0.7500 0.2500 0.5000  4 Cd 2.71
Mg 0.2500 0.7500 0.5000  4 Cd 2.71
Cd 0.2071 0.2071 0.4142  1 Ga 2.53, 4 Mg 2.71
Cd 0.7929 0.7929 0.5858  1 Ga 2.53, 4 Mg 2.71
Ac 0.5000 0.5000 0.0000  2 Cd 3.58, 4 Ga 3.77
Ga 0.0000 0.0000 0.0000  2 Cd 2.53

Values from the calculation:
- space group = I4/mmm, No. 139
- energy (eV per atom) = -1.9582
- E_form (eV per atom) = 0.068



Record 4
AcMgCdGa | PBE-GGA | relaxed

Cell: 5.3230 5.3230 5.3230 Å, 60.00 60.00 60.00°
With the nearest neighbours (Å) after each atom.
Fractional coordinates of all 4 atoms:
Cd 0.0000 0.0000 0.0000  4 Ac 3.26, 4 Mg 3.26
Mg 0.7500 0.7500 0.7500  4 Cd 3.26, 4 Ga 3.26
Ga 0.5000 0.5000 0.5000  4 Ac 3.26, 4 Mg 3.26
Ac 0.2500 0.2500 0.2500  4 Cd 3.26, 4 Ga 3.26

Values from the calculation:
- space group = F-43m, No. 216
- energy (eV per atom) = -2.7258
- E_form (eV per atom) = -0.315



D(E_F) in states/eV/f.u., matching the order above: 4.9; 7.4; 3.0; 1.3